Entry 1:
A plane-wave DFT calculation with PBE was carried out for Dy2P4IrRh3 after structural relaxation.

Structure (extended XYZ):
```
10
Lattice="-2.413 1.653 2.881 1.156 -2.921 2.644 7.240 5.499 2.910" Properties=species:S:1:pos:R:3 pbc="T T T"
Dy 0.547 2.159 2.145
P -0.629 -0.634 2.762
P 3.179 0.515 2.367
Rh 1.417 -0.823 1.659
Ir 2.991 2.116 4.217
P 0.000 0.000 0.000
Rh 5.194 5.688 4.013
Dy 6.063 2.706 3.527
Rh 3.620 2.749 1.455
P 3.432 4.350 3.305
```

Summary:
Total moment (μB per atom): 0.000
Calculated total energy (eV per atom): -7.225
Mass density (g/cm3): 9.80
Space-group type: P-4m2, No. 115

---

Entry 2:
A plane-wave DFT calculation with PBE was carried out for Dy2ScP3Ir12 after structural relaxation.

Structure (extended XYZ):
```
18
Lattice="6.499 -1.412 -1.002 1.982 6.349 -1.002 1.982 1.154 6.323" Properties=species:S:1:pos:R:3 pbc="T T T"
Dy 3.874 2.255 1.599
Dy 6.589 3.836 2.720
Ir 3.151 4.541 3.221
Ir 2.824 1.644 3.891
Ir 5.505 0.497 3.221
Ir 7.312 1.549 1.099
P 3.250 -0.706 -0.501
Sc 0.000 0.000 0.000
P 0.991 3.174 -0.501
Ir 7.640 4.447 0.429
Ir 5.403 5.717 4.055
P 0.991 0.577 3.162
Ir 2.824 4.216 0.265
Ir 4.958 5.593 1.099
Ir 4.958 2.886 4.915
Ir 5.505 3.204 -0.596
Ir 5.060 0.373 0.265
Ir 7.640 1.875 4.055
```

Summary:
Total moment (μB per atom): 0.000
Calculated total energy (eV per atom): -7.864
Mass density (g/cm3): 15.37
Space-group type: R-3m, No. 166

---

Entry 3:
A plane-wave DFT calculation with PBE was carried out for DyScP2Ir5 after structural relaxation.

Structure (extended XYZ):
```
9
Lattice="-3.778 1.161 -0.547 0.350 -0.704 -3.912 -3.310 -10.061 1.515" Properties=species:S:1:pos:R:3 pbc="T T T"
Ir -2.528 -8.570 -0.719
P -2.663 -2.658 -1.795
Ir -0.431 -2.196 -1.678
Ir -3.369 -4.803 -1.472
Ir -4.593 -7.637 0.963
Ir -2.496 -1.264 0.004
P -4.075 -6.947 -1.149
Dy -1.655 -5.031 0.757
Sc 0.000 0.000 0.000
```

Summary:
Total moment (μB per atom): 0.000
Calculated total energy (eV per atom): -7.942
Mass density (g/cm3): 11.99
Space-group type: P4/mmm, No. 123

---

What did the second record say?
A plane-wave DFT calculation with PBE was carried out for Dy2ScP3Ir12 after structural relaxation.

Structure (extended XYZ):
```
18
Lattice="6.499 -1.412 -1.002 1.982 6.349 -1.002 1.982 1.154 6.323" Properties=species:S:1:pos:R:3 pbc="T T T"
Dy 3.874 2.255 1.599
Dy 6.589 3.836 2.720
Ir 3.151 4.541 3.221
Ir 2.824 1.644 3.891
Ir 5.505 0.497 3.221
Ir 7.312 1.549 1.099
P 3.250 -0.706 -0.501
Sc 0.000 0.000 0.000
P 0.991 3.174 -0.501
Ir 7.640 4.447 0.429
Ir 5.403 5.717 4.055
P 0.991 0.577 3.162
Ir 2.824 4.216 0.265
Ir 4.958 5.593 1.099
Ir 4.958 2.886 4.915
Ir 5.505 3.204 -0.596
Ir 5.060 0.373 0.265
Ir 7.640 1.875 4.055
```

Summary:
Total moment (μB per atom): 0.000
Calculated total energy (eV per atom): -7.864
Mass density (g/cm3): 15.37
Space-group type: R-3m, No. 166